[1]
DFT (PBE) results for Be2PtBr after structural relaxation.

abc: 5.356 5.356 6.348
angles: 65.05 65.05 90.00
Sites, in units of the cell vectors:
Be 0.659 0.125 0.250
Be 0.091 0.625 0.250
Be 0.375 0.341 0.750
Be 0.875 0.909 0.750
Br 0.500 0.500 0.000
Br 0.250 0.750 0.500
Pt 0.000 0.000 0.000
Pt 0.750 0.250 0.500

Results
Excess energy over the best structure of this formula in the dataset in meV/atom: 326
Calculated volume in Å³/atom: 18.3
Mass density in g/cm³: 6.66



[2]
DFT (PBE) results for BePt2Br after structural relaxation.

abc: 3.702 3.702 7.887
angles: 106.37 106.37 44.43
Sites, in units of the cell vectors:
Be 0.750 0.750 0.750
Br 0.250 0.250 0.250
Pt 0.094 0.094 0.908
Pt 0.406 0.406 0.592

Results
Excess energy over the best structure of this formula in the dataset in meV/atom: 3
Calculated volume in Å³/atom: 18.0
Mass density in g/cm³: 11.04



[3]
DFT (PBE) results for BePtBr2 after structural relaxation.

abc: 4.743 4.743 3.336
angles: 90.00 90.00 90.11
Sites, in units of the cell vectors:
Be 0.000 0.500 0.500
Br 0.000 0.000 0.000
Br 0.500 0.500 0.000
Pt 0.500 0.000 0.500

Results
Excess energy over the best structure of this formula in the dataset in meV/atom: 1116
Calculated volume in Å³/atom: 18.8
Mass density in g/cm³: 8.05



[4]
DFT (PBE) results for Be2PtBr after structural relaxation.

abc: 6.702 6.702 6.702
angles: 152.00 152.00 40.01
Sites, in units of the cell vectors:
Be 0.000 0.000 0.000
Be 0.250 0.750 0.500
Br 0.500 0.500 0.000
Pt 0.750 0.250 0.500

Results
Excess energy over the best structure of this formula in the dataset in meV/atom: 617
Calculated volume in Å³/atom: 16.6
Mass density in g/cm³: 7.35



[5]
DFT (PBE) results for BePt2Br after structural relaxation.

abc: 4.505 4.505 4.505
angles: 60.00 60.00 60.00
Sites, in units of the cell vectors:
Be 0.500 0.500 0.500
Br 0.750 0.750 0.750
Pt 0.000 0.000 0.000
Pt 0.250 0.250 0.250

Results
Excess energy over the best structure of this formula in the dataset in meV/atom: 719
Calculated volume in Å³/atom: 16.2
Mass density in g/cm³: 12.31



[6]
DFT (PBE) results for BePt2Br after structural relaxation.

abc: 5.167 5.167 5.167
angles: 137.32 137.32 61.95
Sites, in units of the cell vectors:
Be 0.500 0.500 0.000
Br 0.750 0.250 0.500
Pt 0.000 0.000 0.000
Pt 0.250 0.750 0.500

Results
Excess energy over the best structure of this formula in the dataset in meV/atom: 618
Calculated volume in Å³/atom: 15.7
Mass density in g/cm³: 12.70



[7]
DFT (PBE) results for BePtBr2 after structural relaxation.

abc: 8.680 8.680 8.680
angles: 21.65 21.65 21.65
Sites, in units of the cell vectors:
Be 0.750 0.750 0.750
Br 0.028 0.028 0.028
Br 0.472 0.472 0.472
Pt 0.250 0.250 0.250

Results
Excess energy over the best structure of this formula in the dataset in meV/atom: 517
Calculated volume in Å³/atom: 19.5
Mass density in g/cm³: 7.75



[8]
DFT (PBE) results for Rb2BePtBr6 after structural relaxation.

abc: 7.256 7.256 7.619
angles: 61.56 61.56 90.00
Sites, in units of the cell vectors:
Be 0.500 0.500 0.000
Br 0.221 0.221 0.558
Br 0.779 0.779 0.442
Br 0.270 0.270 0.000
Br 0.730 0.730 0.000
Br 0.730 0.270 0.000
Br 0.270 0.730 0.000
Rb 0.750 0.250 0.500
Rb 0.250 0.750 0.500
Pt 0.000 0.000 0.000

Results
Calculated volume in Å³/atom: 29.7
Mass density in g/cm³: 4.78



no.,uncorrected energy (eV per atom),raw formation energy (eV/atom)
1,-3.791,0.001
2,-4.501,-0.131
3,-2.441,0.837
4,-3.500,0.292
5,-3.785,0.585
6,-3.886,0.484
7,-3.040,0.238
8,-3.019,-0.845